# LaPaMnO6 | Alexandria via LeMat-Bulk | PBE+U | optimized geometry
data_LaPaMnO6
_chemical_formula_sum 'La1 Pa1 Mn1 O6'
_cell_length_a 5.4870
_cell_length_b 5.4870
_cell_length_c 4.8131
_cell_angle_alpha 90.00
_cell_angle_beta 90.00
_cell_angle_gamma 120.00
_symmetry_space_group_name_H-M 'P 3 1 2'
_symmetry_Int_Tables_number 149
loop_
_symmetry_equiv_pos_as_xyz
'x,y,z'
'-y,x-y,z'
'-x+y,-x,z'
'-y,-x,-z'
'-x+y,y,-z'
'x,x-y,-z'
loop_
_atom_site_label
_atom_site_type_symbol
_atom_site_fract_x
_atom_site_fract_y
_atom_site_fract_z
_atom_site_occupancy
La1 La 0.0000 0.0000 0.0000 1
Pa1 Pa 0.6667 0.3333 0.5000 1
Mn1 Mn 0.3333 0.6667 0.0000 1
O1 O 0.0204 0.3907 0.2362 1
# Uncorrected energy: -8.404 eV/atom
# Total magnetic moment: 3.00 μB/cell